Record 1
{
  "formula": "SrSc2Re",
  "functional": "PBE-GGA",
  "state": "optimized geometry",
  "cell": [[7.054, 0.000, 0.000], [0.000, 7.054, 0.000], [0.000, 0.000, 7.054]],
  "species": ["Sr", "Sr", "Sr", "Sr", "Sc", "Sc", "Sc", "Sc", "Sc", "Sc", "Sc", "Sc", "Re", "Re", "Re", "Re"],
  "frac_coords": [[0.000, 0.000, 0.000], [0.000, 0.500, 0.500], [0.500, 0.000, 0.500], [0.500, 0.500, 0.000], [0.250, 0.250, 0.250], [0.250, 0.250, 0.750], [0.250, 0.750, 0.250], [0.250, 0.750, 0.750], [0.750, 0.250, 0.250], [0.750, 0.250, 0.750], [0.750, 0.750, 0.250], [0.750, 0.750, 0.750], [0.000, 0.000, 0.500], [0.000, 0.500, 0.000], [0.500, 0.000, 0.000], [0.500, 0.500, 0.500]],
  "total_magnetization_mub_per_fu": 0.00,
  "e_above_lowest_polymorph_mev_per_atom": 334,
  "n_ef_per_ev_fu": 4.92,
  "e_form_ev_per_fu": 1.75,
  "sg": "Fm-3m, No. 225"
}


Record 2
{
  "formula": "SrScRe2",
  "functional": "PBE-GGA",
  "state": "optimized geometry",
  "cell": [[3.157, 0.000, 0.000], [0.000, 3.157, 0.000], [0.000, 0.000, 9.029]],
  "species": ["Sr", "Sc", "Re", "Re"],
  "frac_coords": [[0.000, 0.000, 0.000], [0.500, 0.500, 0.621], [0.000, 0.000, 0.416], [0.500, 0.500, 0.268]],
  "total_magnetization_mub_per_fu": 0.00,
  "e_above_lowest_polymorph_mev_per_atom": 0,
  "n_ef_per_ev_fu": 5.36,
  "e_form_ev_per_fu": 1.06,
  "sg": "P4mm, No. 99"
}


> Which formula does entry 2 have?

SrScRe2


> What is the formula in the second record?

SrScRe2